1.
# LuIn2Pt (PBE, optimized geometry)
data_LuIn2Pt
_chemical_formula_sum 'Lu1 In2 Pt1'
_cell_length_a 4.680
_cell_length_b 4.272
_cell_length_c 4.272
_cell_angle_alpha 90.00
_cell_angle_beta 90.00
_cell_angle_gamma 90.00
_symmetry_space_group_name_H-M 'P 1'
_symmetry_Int_Tables_number 1
loop_
_symmetry_equiv_pos_as_xyz
'x,y,z'
loop_
_atom_site_label
_atom_site_type_symbol
_atom_site_fract_x
_atom_site_fract_y
_atom_site_fract_z
Lu1 Lu 0.500 0.500 0.500
Pt1 Pt 0.500 0.000 0.000
In1 In 0.000 0.000 0.500
In2 In 0.000 0.500 0.000
# Calculated density ... 11658 kg/m3
# ΔH_f (0 K) ... -53 kJ/mol of atoms
# Calculated volume ... 85.4 Å³ per cell
# Fermi-level density of states ... 2.01 states/eV/f.u.
# Electronic total energy ... -0.1676 Ha/atom

---

2.
# LuInPt (PBE, optimized geometry)
data_LuInPt
_chemical_formula_sum 'Lu1 In1 Pt1'
_cell_length_a 3.454
_cell_length_b 4.648
_cell_length_c 4.648
_cell_angle_alpha 120.00
_cell_angle_beta 90.00
_cell_angle_gamma 90.00
_symmetry_space_group_name_H-M 'P 1'
_symmetry_Int_Tables_number 1
loop_
_symmetry_equiv_pos_as_xyz
'x,y,z'
loop_
_atom_site_label
_atom_site_type_symbol
_atom_site_fract_x
_atom_site_fract_y
_atom_site_fract_z
Lu1 Lu 0.666 0.667 0.333
Pt1 Pt 0.167 0.333 0.667
In1 In 0.167 0.000 0.000
# Calculated density ... 12458 kg/m3
# ΔH_f (0 K) ... -77 kJ/mol of atoms
# Calculated volume ... 64.6 Å³ per cell
# Fermi-level density of states ... 2.48 states/eV/f.u.
# Electronic total energy ... -0.1922 Ha/atom

---

3.
# LuInPt2 (PBE, optimized geometry)
data_LuInPt2
_chemical_formula_sum 'Lu1 In1 Pt2'
_cell_length_a 3.511
_cell_length_b 4.657
_cell_length_c 4.657
_cell_angle_alpha 90.00
_cell_angle_beta 90.00
_cell_angle_gamma 90.00
_symmetry_space_group_name_H-M 'P 1'
_symmetry_Int_Tables_number 1
loop_
_symmetry_equiv_pos_as_xyz
'x,y,z'
loop_
_atom_site_label
_atom_site_type_symbol
_atom_site_fract_x
_atom_site_fract_y
_atom_site_fract_z
Lu1 Lu 0.500 0.500 0.500
Pt1 Pt 0.000 0.000 0.500
Pt2 Pt 0.000 0.500 0.000
In1 In 0.500 0.000 0.000
# Calculated density ... 14829 kg/m3
# ΔH_f (0 K) ... -87 kJ/mol of atoms
# Calculated volume ... 76.1 Å³ per cell
# Fermi-level density of states ... 2.17 states/eV/f.u.
# Electronic total energy ... -0.2108 Ha/atom

---

4.
# Lu2InPt (PBE, optimized geometry)
data_Lu2InPt
_chemical_formula_sum 'Lu2 In1 Pt1'
_cell_length_a 3.470
_cell_length_b 3.470
_cell_length_c 7.569
_cell_angle_alpha 90.00
_cell_angle_beta 90.00
_cell_angle_gamma 90.00
_symmetry_space_group_name_H-M 'P 1'
_symmetry_Int_Tables_number 1
loop_
_symmetry_equiv_pos_as_xyz
'x,y,z'
loop_
_atom_site_label
_atom_site_type_symbol
_atom_site_fract_x
_atom_site_fract_y
_atom_site_fract_z
Lu1 Lu 0.000 0.000 0.783
Lu2 Lu 0.000 0.000 0.217
Pt1 Pt 0.500 0.500 0.000
In1 In 0.500 0.500 0.500
# Calculated density ... 12019 kg/m3
# ΔH_f (0 K) ... -85 kJ/mol of atoms
# Energy above the most stable polymorph in this dataset ... 0.00 eV per formula unit
# Calculated volume ... 91.2 Å³ per cell
# Fermi-level density of states ... 2.64 states/eV/f.u.
# Electronic total energy ... -0.1962 Ha/atom